# 1
Material: Cu3AgTe3
Method: DFT, GGA-PBE
State: optimized geometry

a = 8.667 Å, b = 8.667 Å, c = 8.667 Å
α = 47.33°, β = 47.33°, γ = 47.33°
Sites, in units of the cell vectors:
Cu1 0.139 0.799 0.476
Cu2 0.201 0.524 0.861
Cu3 0.476 0.139 0.799
Cu4 0.524 0.861 0.201
Cu5 0.799 0.476 0.139
Cu6 0.861 0.201 0.524
Ag1 0.334 0.334 0.334
Ag2 0.666 0.666 0.666
Te1 0.080 0.414 0.752
Te2 0.248 0.920 0.586
Te3 0.414 0.752 0.080
Te4 0.586 0.248 0.920
Te5 0.752 0.080 0.414
Te6 0.920 0.586 0.248

Values from the calculation:
symmetry	R-3
raw formation energy	-0.035	eV per atom
distance to the lowest polymorph of the same formula	0	meV/atom

# 2
Material: As3AuF
Method: DFT, GGA-PBE
State: optimized geometry

a = 4.574 Å, b = 4.574 Å, c = 4.574 Å
α = 90.00°, β = 90.00°, γ = 90.00°
Sites, in units of the cell vectors:
As1 0.000 0.000 0.500
As2 0.000 0.500 0.000
As3 0.500 0.000 0.000
Au1 0.500 0.500 0.500
F1 0.000 0.000 0.000

Values from the calculation:
symmetry	Pm-3m
raw formation energy	0.464	eV per atom
distance to the lowest polymorph of the same formula	0	meV/atom

# 3
Material: Ca6Ag3Pt
Method: DFT, GGA-PBE
State: optimized geometry

a = 11.261 Å, b = 4.222 Å, c = 13.243 Å
α = 90.00°, β = 110.13°, γ = 90.00°
Sites, in units of the cell vectors:
Ca1 0.018 0.250 0.378
Ca2 0.083 0.250 0.905
Ca3 0.257 0.750 0.329
Ca4 0.349 0.750 0.788
Ca5 0.353 0.750 0.118
Ca6 0.410 0.250 0.572
Ca7 0.590 0.750 0.428
Ca8 0.647 0.250 0.882
Ca9 0.651 0.250 0.212
Ca10 0.743 0.250 0.671
Ca11 0.917 0.750 0.095
Ca12 0.982 0.750 0.622
Ag1 0.142 0.250 0.157
Ag2 0.195 0.750 0.536
Ag3 0.407 0.250 0.968
Ag4 0.593 0.750 0.032
Ag5 0.805 0.250 0.464
Ag6 0.858 0.750 0.843
Pt1 0.424 0.250 0.295
Pt2 0.576 0.750 0.705

Values from the calculation:
symmetry	P2_1/m
formation enthalpy at 0 K	-361	kJ/mol of formula units

# 4
Material: ZrSc2BPb
Method: DFT, GGA-PBE
State: optimized geometry

a = 4.665 Å, b = 4.665 Å, c = 4.704 Å
α = 90.00°, β = 90.00°, γ = 90.00°
Sites, in units of the cell vectors:
Zr1 0.000 0.000 0.000
Sc1 0.000 0.500 0.500
Sc2 0.500 0.000 0.500
B1 0.000 0.000 0.500
Pb1 0.500 0.500 0.000

Values from the calculation:
symmetry	P4/mmm
formation enthalpy at 0 K	-228	kJ/mol of formula units